Crystalline Li2V5P4O16 at its relaxed geometry. Source: Alexandria, functional PBE with a Hubbard U.

Structure (extended XYZ):
```
27
Lattice="5.272 -0.056 0.095 -1.621 8.102 -0.219 -0.181 -3.151 7.822" Properties=species:S:1:pos:R:3 pbc="T T T"
V 0.037 -0.482 5.984
V 3.432 5.377 1.713
V -1.802 4.950 7.603
V 2.706 1.164 5.435
V 0.764 3.730 2.263
O 1.118 -1.353 7.649
O -0.885 4.556 3.433
O 0.855 1.480 6.436
O -0.047 3.839 6.811
O 0.157 5.295 0.884
O 2.352 6.248 0.049
O 4.355 0.338 4.265
O 3.313 -0.401 6.814
O 3.517 1.055 0.887
O 1.521 -0.222 4.260
O 2.615 3.414 1.262
O 2.640 3.125 4.835
O 3.304 5.441 5.574
O 0.830 1.769 2.863
O 0.166 -0.547 2.124
O 1.949 5.116 3.438
P 0.729 2.665 7.440
P 2.741 2.229 0.258
P 3.061 4.491 4.361
P 0.409 0.403 3.337
Li 3.182 -0.021 2.551
Li 0.288 4.915 5.146
```

Summary:
* energy above the lowest structure with this stoichiometry: 0 meV per atom
* total magnetic moment: 15.00 μB/f.u.
* raw total energy: -7.361 eV/atom
* space-group type: P-1